Entry from Alexandria via LeMat-Bulk: Sr2CaY after structural relaxation (PBE-GGA).

## Properties
- raw total energy (eV per atom) = -2.791
- magnetic moment (μB per cell) = 0.00

The structure in POSCAR format:
```
Sr2CaY
1.0
7.384 0.009 0.007
3.412 6.548 -0.007
-4.670 -4.478 3.558
Y Sr Ca
1 2 1
direct
0.250 0.750 0.500
0.495 0.495 0.000
0.005 0.005 0.000
0.750 0.250 0.500
```


Entry from Alexandria via LeMat-Bulk: Sr2CaY after structural relaxation (PBE-GGA).

## Properties
- raw total energy (eV per atom) = -2.795
- magnetic moment (μB per cell) = 0.00

The structure in POSCAR format:
```
Sr2CaY
1.0
6.196 0.000 0.000
0.000 3.793 0.045
0.000 1.418 7.364
Sr Y Ca
2 1 1
direct
0.000 0.008 0.008
0.000 0.492 0.492
0.500 0.250 0.250
0.500 0.750 0.750
```


Entry from Alexandria via LeMat-Bulk: SrCa2Y after structural relaxation (PBE-GGA).

## Properties
- raw total energy (eV per atom) = -2.923
- magnetic moment (μB per cell) = 0.01

The structure in POSCAR format:
```
SrCa2Y
1.0
-2.423 2.301 1.705
0.528 -3.051 2.118
9.373 5.611 5.745
Sr Y Ca
1 1 2
direct
0.500 0.500 0.250
0.500 0.500 0.750
0.000 0.000 0.982
0.000 0.000 0.518
```


Entry from Alexandria via LeMat-Bulk: Sr2CaY after structural relaxation (PBE-GGA).

## Properties
- raw total energy (eV per atom) = -2.787
- magnetic moment (μB per cell) = 1.08

The structure in POSCAR format:
```
Sr2CaY
1.0
6.949 -0.005 -0.010
5.799 3.829 -0.010
1.407 0.422 6.623
Ca Sr Y
1 2 1
direct
0.250 0.250 0.250
0.494 0.494 0.509
0.006 0.006 0.991
0.750 0.750 0.750
```


Entry from Alexandria via LeMat-Bulk: Sr2CaY after structural relaxation (PBE-GGA).

## Properties
- raw total energy (eV per atom) = -2.517
- magnetic moment (μB per cell) = 0.00

The structure in POSCAR format:
```
Sr2CaY
1.0
-9.055 2.289 -2.587
2.347 -1.250 -9.319
-4.321 -3.043 -5.719
Y Sr Ca
2 4 2
direct
0.000 0.000 0.000
0.750 0.250 0.500
0.375 0.375 0.750
0.875 0.875 0.750
0.625 0.125 0.250
0.125 0.625 0.250
0.250 0.750 0.500
0.500 0.500 0.000
```


Entry from Alexandria via LeMat-Bulk: Sr3Ca12Y after structural relaxation (PBE-GGA).

## Properties
- raw total energy (eV per atom) = -2.179
- magnetic moment (μB per cell) = 0.01

The structure in POSCAR format:
```
Sr3Ca12Y
1.0
-0.463 1.906 5.262
-5.597 -0.197 -0.421
0.165 -20.697 7.512
Sr Y Ca
3 1 12
direct
0.000 0.000 0.759
0.000 0.000 0.500
0.000 0.000 0.241
0.000 0.000 0.000
0.500 0.000 0.371
0.500 0.000 0.629
0.000 0.500 0.114
0.500 0.500 0.000
0.500 0.000 0.114
0.000 0.500 0.371
0.000 0.500 0.886
0.500 0.500 0.757
0.500 0.000 0.886
0.500 0.500 0.243
0.500 0.500 0.500
0.000 0.500 0.629
```


Entry from Alexandria via LeMat-Bulk: SrCa4Y after structural relaxation (PBE-GGA).

## Properties
- raw total energy (eV per atom) = -2.488
- magnetic moment (μB per cell) = 1.73

The structure in POSCAR format:
```
SrCa4Y
1.0
3.454 -5.765 -2.484
0.911 -5.722 4.215
-3.612 -6.042 -1.332
Ca Y Sr
4 1 1
direct
0.374 0.878 0.374
0.374 0.374 0.878
0.374 0.374 0.374
0.878 0.374 0.374
0.000 0.000 0.000
0.750 0.750 0.750
```


Entry from Alexandria via LeMat-Bulk: Sr2CaY after structural relaxation (PBE-GGA).

## Properties
- raw total energy (eV per atom) = -2.797
- magnetic moment (μB per cell) = 1.08

The structure in POSCAR format:
```
Sr2CaY
1.0
6.996 -0.003 0.046
5.849 3.838 0.046
1.476 0.441 6.605
Ca Sr Y
1 2 1
direct
0.240 0.240 0.261
0.759 0.759 0.734
0.996 0.996 0.008
0.505 0.505 0.496
```


Entry from Alexandria via LeMat-Bulk: Sr2Ca2Y after structural relaxation (PBE-GGA).

## Properties
- raw total energy (eV per atom) = -2.463
- magnetic moment (μB per cell) = 0.48

The structure in POSCAR format:
```
Sr2Ca2Y
1.0
10.129 0.000 0.000
0.000 10.129 0.000
0.000 0.000 4.245
Sr Y Ca
4 2 4
direct
0.868 0.632 0.000
0.368 0.868 0.000
0.132 0.368 0.000
0.632 0.132 0.000
0.000 0.000 0.000
0.500 0.500 0.000
0.330 0.170 0.500
0.830 0.330 0.500
0.670 0.830 0.500
0.170 0.670 0.500
```


Entry from Alexandria via LeMat-Bulk: SrCa3Y after structural relaxation (PBE-GGA).

## Properties
- raw total energy (eV per atom) = -2.250
- magnetic moment (μB per cell) = 2.29

The structure in POSCAR format:
```
SrCa3Y
1.0
6.259 0.000 0.000
0.000 6.259 0.000
0.000 0.000 6.259
Ca Y Sr
3 1 1
direct
0.500 0.000 0.000
0.000 0.500 0.000
0.000 0.000 0.500
0.000 0.000 0.000
0.500 0.500 0.500
```


Entry from Alexandria via LeMat-Bulk: SrCa2Y after structural relaxation (PBE-GGA).

## Properties
- raw total energy (eV per atom) = -2.893
- magnetic moment (μB per cell) = 0.00

The structure in POSCAR format:
```
SrCa2Y
1.0
7.191 -0.018 -0.010
-3.289 6.459 0.026
0.614 1.072 3.491
Y Sr Ca
1 1 2
direct
0.500 0.000 0.500
0.500 0.500 0.000
0.000 0.500 0.500
0.000 0.000 0.000
```


Entry from Alexandria via LeMat-Bulk: SrCa2Y after structural relaxation (PBE-GGA).

## Properties
- raw total energy (eV per atom) = -2.941
- magnetic moment (μB per cell) = 0.69

The structure in POSCAR format:
```
SrCa2Y
1.0
-0.456 2.777 -2.722
-1.693 -2.609 -2.378
-9.742 2.505 4.186
Ca Sr Y
2 1 1
direct
0.000 0.000 0.526
0.000 0.000 0.974
0.500 0.500 0.250
0.500 0.500 0.750
```